1.
{
  "formula": "KTaCl",
  "functional": "PBE-GGA",
  "state": "optimized geometry",
  "cell": [[-5.5014, -1.2041, -0.5567], [-2.0503, -1.6080, -5.0234], [-1.6587, -5.3514, -0.7975]],
  "species": ["K", "Cl", "Ta"],
  "fractional_positions": [[0.7500, 0.7500, 0.7500], [0.5000, 0.5000, 0.5000], [0.0000, 0.0000, 0.0000]],
  "formation_energy_uncorrected_ev_per_atom": 1.5352,
  "e_tot_ev_per_cell": -10.191,
  "crystal_system": "cubic",
  "n_ef_per_ev_cell": 0.45
}

---

2.
{
  "formula": "Ca2ThMg",
  "functional": "PBE-GGA",
  "state": "optimized geometry",
  "cell": [[-1.5485, 1.5985, 2.7021], [-2.1868, -1.7850, 2.0703], [8.4828, -3.2954, 9.0784]],
  "species": ["Ca", "Ca", "Mg", "Th"],
  "fractional_positions": [[0.0921, 0.0921, 0.7237], [0.9079, 0.9079, 0.2763], [0.5000, 0.5000, 0.5000], [0.0000, 0.0000, 0.0000]],
  "e_tot_ev_per_cell": -12.029,
  "crystal_system": "trigonal",
  "n_ef_per_ev_cell": 4.04,
  "ef_mev_per_atom": 247
}

---

3.
{
  "formula": "GaPbAuF6",
  "functional": "PBE-GGA",
  "state": "optimized geometry",
  "cell": [[6.0998, 0.0000, 0.0000], [-3.0499, 5.2826, 0.0000], [0.0000, 0.0000, 8.9291]],
  "species": ["Ga", "Ga", "Pb", "Pb", "Au", "Au", "F", "F", "F", "F", "F", "F", "F", "F", "F", "F", "F", "F"],
  "fractional_positions": [[0.6667, 0.3333, 0.2500], [0.3333, 0.6667, 0.7500], [0.3333, 0.6667, 0.2500], [0.6667, 0.3333, 0.7500], [0.0000, 0.0000, 0.0000], [0.0000, 0.0000, 0.5000], [0.6634, 0.5958, 0.1302], [0.9324, 0.3366, 0.1302], [0.3366, 0.9324, 0.6302], [0.0676, 0.6634, 0.8698], [0.4042, 0.3366, 0.3698], [0.9324, 0.5958, 0.3698], [0.5958, 0.9324, 0.8698], [0.6634, 0.0676, 0.3698], [0.0676, 0.4042, 0.6302], [0.4042, 0.0676, 0.1302], [0.5958, 0.6634, 0.6302], [0.3366, 0.4042, 0.8698]],
  "formation_energy_uncorrected_ev_per_atom": -1.9755,
  "e_tot_ev_per_cell": -78.040,
  "crystal_system": "trigonal",
  "n_ef_per_ev_cell": 0.00
}

---

4.
{
  "formula": "FeMo2Ir",
  "functional": "PBE-GGA",
  "state": "optimized geometry",
  "cell": [[-2.0115, -0.3903, 3.8616], [-3.9356, -1.8887, 0.2335], [-0.4290, -3.9360, 1.8532]],
  "species": ["Mo", "Mo", "Ir", "Fe"],
  "fractional_positions": [[0.2500, 0.2500, 0.2500], [0.7500, 0.7500, 0.7500], [0.5000, 0.5000, 0.5000], [0.0000, 0.0000, 0.0000]],
  "e_tot_ev_per_cell": -38.115,
  "crystal_system": "cubic",
  "n_ef_per_ev_cell": 5.81,
  "ef_mev_per_atom": 218
}

---

5.
{
  "formula": "CoSb2Pb",
  "functional": "PBE-GGA",
  "state": "optimized geometry",
  "cell": [[4.0260, 0.0000, 0.0000], [0.0000, 5.4346, -0.0127], [0.0000, 3.0250, 4.5122]],
  "species": ["Co", "Pb", "Sb", "Sb"],
  "fractional_positions": [[0.5000, 0.2500, 0.2500], [0.5000, 0.7500, 0.7500], [0.0000, 0.0830, 0.0832], [0.0000, 0.4170, 0.4168]],
  "formation_energy_uncorrected_ev_per_atom": 0.0283,
  "e_tot_ev_per_cell": -18.946,
  "crystal_system": "orthorhombic",
  "n_ef_per_ev_cell": 2.08
}

---

6.
{
  "formula": "PrAlCdPt3",
  "functional": "PBE-GGA",
  "state": "optimized geometry",
  "cell": [[5.7855, 0.0000, 0.0000], [0.0000, 7.3064, 0.0000], [0.0000, -3.6532, 6.1203]],
  "species": ["Pr", "Pr", "Al", "Al", "Cd", "Cd", "Pt", "Pt", "Pt", "Pt", "Pt", "Pt"],
  "fractional_positions": [[0.7500, 0.3022, 0.6043], [0.2500, 0.6978, 0.3957], [0.2500, 0.3826, 0.7651], [0.7500, 0.6174, 0.2349], [0.2500, 0.9544, 0.9088], [0.7500, 0.0456, 0.0912], [0.2500, 0.1881, 0.3761], [0.0000, 0.3042, 0.0000], [0.5000, 0.6958, 0.0000], [0.5000, 0.3042, 0.0000], [0.0000, 0.6958, 0.0000], [0.7500, 0.8119, 0.6239]],
  "e_tot_ev_per_cell": -62.281,
  "crystal_system": "orthorhombic",
  "n_ef_per_ev_cell": 6.03,
  "ef_mev_per_atom": -597
}

---

Copy entry 1 word for word.
{
  "formula": "KTaCl",
  "functional": "PBE-GGA",
  "state": "optimized geometry",
  "cell": [[-5.5014, -1.2041, -0.5567], [-2.0503, -1.6080, -5.0234], [-1.6587, -5.3514, -0.7975]],
  "species": ["K", "Cl", "Ta"],
  "fractional_positions": [[0.7500, 0.7500, 0.7500], [0.5000, 0.5000, 0.5000], [0.0000, 0.0000, 0.0000]],
  "formation_energy_uncorrected_ev_per_atom": 1.5352,
  "e_tot_ev_per_cell": -10.191,
  "crystal_system": "cubic",
  "n_ef_per_ev_cell": 0.45
}